Crystalline Ce2Tm3Ru2 at its relaxed geometry, computed with PBE-GGA.

```
7
Lattice="3.744 0.000 0.000 -1.872 5.868 -0.300 0.000 -3.089 8.275" Properties=species:S:1:pos:R:3 pbc="T T T"
Ce 1.872 3.294 1.390
Ce 0.000 -0.515 6.585
Tm 1.872 0.000 0.000
Tm 1.872 0.081 3.407
Tm 0.000 2.698 4.568
Ru 1.872 1.225 6.155
Ru 0.000 1.554 1.820
```

Computed properties:
Fermi-level density of states: 11.00 states/eV per cell
formation enthalpy at 0 K: -342 meV per atom
SG: C2/m

=====

Crystalline NaMgBiBr6 at its relaxed geometry, computed with PBE-GGA.

```
18
Lattice="-3.500 -3.351 -5.237 5.980 -2.829 2.674 -7.260 -6.704 9.143" Properties=species:S:1:pos:R:3 pbc="T T T"
Na 0.000 0.000 0.000
Na -3.630 -3.352 4.571
Mg 1.005 -4.679 2.323
Mg -5.786 -8.205 4.257
Bi -2.155 -4.853 -0.314
Bi -2.626 -8.031 6.894
Br 0.733 -4.855 -0.367
Br 1.165 -1.986 2.081
Br -5.751 -5.519 3.910
Br -5.946 -10.898 4.499
Br -1.696 -4.667 2.532
Br 1.164 -4.383 5.011
Br -8.473 -8.066 4.570
Br 0.970 -7.365 2.670
Br -5.945 -8.501 1.569
Br 3.692 -4.818 2.010
Br -3.085 -8.217 4.049
Br -5.514 -8.029 6.947
```

Computed properties:
Fermi-level density of states: 0.00 states/eV per cell
E_tot: -54.5 eV for the cell shown
SG: P-31c